No. 1
Compound: K2P2WO9
Source: Alexandria via LeMat-Bulk
Functional: PBEsol
Structure: relaxed

Unit cell a=13.870 b=8.099 c=15.535 alpha=90.00 beta=99.80 gamma=90.00
Space group C2/c (No. 15)
Inequivalent atoms, fractional coordinates:
1 K 0.146 0.160 0.237 x8
2 K 0.150 0.071 0.970 x8
3 P 0.039 0.307 0.423 x8
4 P 0.129 0.414 0.847 x8
5 W 0.113 0.355 0.637 x8
6 O 0.029 0.157 0.366 x8
7 O 0.038 0.316 0.857 x8
8 O 0.052 0.418 0.085 x8
9 O 0.072 0.255 0.520 x8
10 O 0.120 0.477 0.750 x8
11 O 0.129 0.417 0.402 x8
12 O 0.145 0.167 0.689 x8
13 O 0.224 0.329 0.881 x8
14 O 0.226 0.425 0.617 x8

Properties
Calculated total energy in eV for the cell shown: -851.485
M_tot in μB/cell: 0.3

---

No. 2
Compound: MnSn2
Source: Alexandria via LeMat-Bulk
Functional: PBEsol
Structure: relaxed

Unit cell a=6.482 b=6.482 c=5.319 alpha=90.00 beta=90.00 gamma=90.00
Space group I4/mcm (No. 140)
Inequivalent atoms, fractional coordinates:
1 Mn 0.000 0.000 0.250 x4
2 Sn 0.164 0.336 0.000 x8

Properties
Calculated total energy in eV for the cell shown: -73.189
M_tot in μB/cell: 8.1
Energy relative to the elements in eV per atom: -0.006

---

No. 3
Compound: BeCd2Hg
Source: Alexandria via LeMat-Bulk
Functional: PBEsol
Structure: relaxed

Unit cell a=9.993 b=2.835 c=5.651 alpha=90.00 beta=112.19 gamma=90.00
Space group C2/m (No. 12)
Inequivalent atoms, fractional coordinates:
1 Be 0.000 0.000 0.000 x2
2 Cd 0.222 0.500 0.221 x4
3 Hg 0.000 0.500 0.500 x2

Properties
Calculated total energy in eV for the cell shown: -11.716
M_tot in μB/cell: 0.0
Energy relative to the elements in eV per atom: 0.276
Energy above the most stable polymorph in this dataset in meV per atom: 41

---

Q: What is the formula in the first record?
A: K2P2WO9